Record 1
VASP calculation (PBE) on TmUAgSe4 after structural relaxation.

Cell: 8.4078 8.2766 8.1997 Å, 119.69 90.00 120.53°
With the nearest neighbours (Å) after each atom.
Atoms (fractional coordinates):
Se1 0.7434 0.4868 0.2580  1 Ag 2.71, 1 Tm 2.84, 2 U 2.86
Se2 0.2598 0.9848 0.7424  1 Ag 2.68, 1 U 2.83, 2 Tm 2.83
Se3 0.7250 0.9848 0.7424  1 Ag 2.68, 1 U 2.83, 2 Tm 2.83
Se4 0.7434 0.4868 0.7288  1 Ag 2.71, 1 Tm 2.84, 2 U 2.86
U1 0.5000 0.5000 0.5000  6 Se 2.83-2.86
Se5 0.2566 0.5132 0.7420  1 Ag 2.71, 1 Tm 2.84, 2 U 2.86
Se6 0.7402 0.0152 0.2576  1 Ag 2.68, 1 U 2.83, 2 Tm 2.83
Tm1 0.5000 0.0000 0.0000  6 Se 2.83-2.84
Ag1 0.8825 0.7650 0.1325  4 Se 2.68-2.71
Tm2 0.5000 0.0000 0.5000  6 Se 2.83-2.84
Ag2 0.1175 0.2350 0.8675  4 Se 2.68-2.71
Se7 0.2566 0.5132 0.2712  1 Ag 2.71, 1 Tm 2.84, 2 U 2.86
U2 0.0000 0.5000 0.5000  6 Se 2.83-2.86
Se8 0.2750 0.0152 0.2576  1 Ag 2.68, 1 U 2.83, 2 Tm 2.83

space group: Imma (74)
energy relative to the elements, uncorrected: -1.1735 eV per atom
energy: -5.823 eV/atom
D(E_F): 0.650 states/eV per atom

=====

Record 2
VASP calculation (PBE) on Tm3UAg3Se8 after structural relaxation.

Cell: 8.2520 8.2507 8.0433 Å, 121.03 90.00 120.01°
With the nearest neighbours (Å) after each atom.
Atoms (fractional coordinates):
Ag1 0.5000 0.5000 0.0000  6 Se 2.91-2.93
Se1 0.2554 0.0069 0.2597  2 Tm 2.84, 1 U 2.86, 2 Ag 2.91-2.93
Ag2 0.0000 0.0000 0.0000  6 Se 2.89-2.93
Se2 0.7515 0.0069 0.2597  2 Tm 2.84, 1 U 2.86, 2 Ag 2.91-2.93
Se3 0.2484 0.4968 0.7402  2 Tm 2.84, 1 U 2.86, 2 Ag 2.93
Ag3 0.0000 0.5000 0.0000  6 Se 2.91-2.93
Se4 0.2485 0.9931 0.7403  2 Tm 2.84, 1 U 2.86, 2 Ag 2.91-2.93
Se5 0.2516 0.5031 0.2559  3 Tm 2.86, 3 Ag 2.89-2.91
Se6 0.7484 0.4969 0.7441  3 Tm 2.86, 3 Ag 2.89-2.91
Tm1 0.5000 0.0000 0.5000  6 Se 2.84-2.86
Se7 0.7446 0.9931 0.7403  2 Tm 2.84, 1 U 2.86, 2 Ag 2.91-2.93
Tm2 0.5000 0.5000 0.5000  6 Se 2.84-2.86
Se8 0.7516 0.5032 0.2598  2 Tm 2.84, 1 U 2.86, 2 Ag 2.93
Tm3 0.0000 0.5000 0.5000  6 Se 2.84-2.86
U1 0.0000 0.0000 0.5000  6 Se 2.86

space group: C2/m (12)
energy relative to the elements, uncorrected: -1.1426 eV per atom
energy: -5.218 eV/atom
D(E_F): 0.387 states/eV per atom

=====

Record 3
VASP calculation (PBE) on Y4TmAgSe8 after structural relaxation.

Cell: 8.3872 8.3872 8.3583 Å, 59.89 59.89 60.00°
With the nearest neighbours (Å) after each atom.
Atoms (fractional coordinates):
Ag1 0.3757 0.3757 0.8728  4 Se 2.70
Se1 0.7701 0.2415 0.7469  1 Ag 2.70, 1 Tm 2.80, 2 Y 2.83
Tm1 0.0050 0.0050 0.9849  6 Se 2.80-2.90
Y1 0.4856 0.0047 0.5049  6 Se 2.83-2.93
Y2 0.0047 0.4856 0.5049  6 Se 2.83-2.93
Se2 0.7582 0.7582 0.7254  4 Y 2.74-2.93
Se3 0.2415 0.2415 0.7469  1 Ag 2.70, 1 Tm 2.80, 2 Y 2.83
Se4 0.2415 0.7701 0.7469  1 Ag 2.70, 1 Tm 2.80, 2 Y 2.83
Se5 0.2438 0.2438 0.2687  1 Ag 2.70, 3 Y 2.83
Se6 0.7610 0.7610 0.2552  3 Y 2.75-2.93, 1 Tm 2.90
Y3 0.6242 0.6242 0.1273  4 Se 2.74-2.75
Y4 0.0047 0.0047 0.5049  6 Se 2.83-2.93
Se7 0.2229 0.7610 0.2552  3 Y 2.75-2.93, 1 Tm 2.90
Se8 0.7610 0.2229 0.2552  3 Y 2.75-2.93, 1 Tm 2.90

space group: R3m (160)
energy relative to the elements, uncorrected: -1.6567 eV per atom
energy: -6.018 eV/atom
D(E_F): 0.000 states/eV per atom

=====

Record 4
VASP calculation (PBE) on Y2TmAg3Se6 after structural relaxation.

Cell: 4.1574 8.0937 9.0657 Å, 100.49 103.26 90.00°
With the nearest neighbours (Å) after each atom.
Atoms (fractional coordinates):
Y1 0.8333 0.6705 0.6666  6 Se 2.88-2.89
Se1 0.3332 0.4224 0.6664  3 Ag 2.89, 3 Y 2.89
Y2 0.1667 0.3295 0.3334  6 Se 2.88-2.89
Se2 0.6668 0.5776 0.3336  3 Ag 2.89, 3 Y 2.89
Se3 0.0004 0.2425 0.0008  2 Tm 2.86, 1 Y 2.89, 3 Ag 2.94
Se4 0.3357 0.9186 0.6715  1 Tm 2.85, 2 Y 2.88, 3 Ag 2.89-2.94
Ag1 0.5000 0.5000 0.0000  6 Se 2.89-2.94
Se5 0.9996 0.7575 0.9992  2 Tm 2.86, 1 Y 2.89, 3 Ag 2.94
Ag2 0.1693 0.8261 0.3385  6 Se 2.89-2.94
Se6 0.6643 0.0814 0.3285  1 Tm 2.85, 2 Y 2.88, 3 Ag 2.89-2.94
Tm1 0.5000 0.0000 0.0000  6 Se 2.85-2.86
Ag3 0.8307 0.1739 0.6615  6 Se 2.89-2.94

space group: C2/m (12)
energy relative to the elements, uncorrected: -1.1660 eV per atom
energy: -5.071 eV/atom
D(E_F): 0.000 states/eV per atom

=====

Record 5
VASP calculation (PBE) on Tm3ZrAg3Se8 after structural relaxation.

Cell: 8.1074 8.1079 8.1446 Å, 120.04 90.00 120.00°
With the nearest neighbours (Å) after each atom.
Atoms (fractional coordinates):
Tm1 0.5000 0.0000 0.5000  6 Se 2.84
Se1 0.2449 0.0052 0.2669  1 Zr 2.75, 2 Tm 2.84, 2 Ag 2.90-2.91
Ag1 0.0000 0.5000 0.0000  6 Se 2.90-2.91
Se2 0.2520 0.5039 0.2572  3 Tm 2.84, 3 Ag 2.89-2.90
Se3 0.7603 0.0052 0.2669  1 Zr 2.75, 2 Tm 2.84, 2 Ag 2.90-2.91
Se4 0.7480 0.4961 0.7428  3 Tm 2.84, 3 Ag 2.89-2.90
Ag2 0.0000 0.0000 0.0000  6 Se 2.89-2.91
Tm2 0.0000 0.5000 0.5000  6 Se 2.84
Se5 0.2397 0.9948 0.7331  1 Zr 2.75, 2 Tm 2.84, 2 Ag 2.90-2.91
Se6 0.7604 0.5207 0.2670  1 Zr 2.75, 2 Tm 2.84, 2 Ag 2.91
Tm3 0.5000 0.5000 0.5000  6 Se 2.84
Se7 0.2396 0.4793 0.7330  1 Zr 2.75, 2 Tm 2.84, 2 Ag 2.91
Ag3 0.5000 0.5000 0.0000  6 Se 2.90-2.91
Se8 0.7551 0.9948 0.7331  1 Zr 2.75, 2 Tm 2.84, 2 Ag 2.90-2.91
Zr1 0.0000 0.0000 0.5000  6 Se 2.75

space group: C2/m (12)
energy relative to the elements, uncorrected: -1.1764 eV per atom
energy: -5.069 eV/atom

=====

Record 6
VASP calculation (PBE) on U2AgSe5 after structural relaxation.

Cell: 3.9158 7.7216 12.4178 Å, 90.00 90.00 90.00°
With the nearest neighbours (Å) after each atom.
Atoms (fractional coordinates):
Se1 0.5000 0.1479 0.1059  2 Ag 2.62, 2 U 2.88-2.92
U1 0.5000 0.0031 0.3228  8 Se 2.88-2.99
Se2 0.5000 0.3521 0.6059  2 Ag 2.62, 2 U 2.88-2.92
Se3 0.0000 0.0000 0.5000  4 U 2.95
Se4 0.0000 0.7922 0.2049  4 U 2.94-2.99, 1 Ag 3.01, 2 Se 3.25
Ag1 0.0000 0.0000 0.0000  4 Se 2.62
Se5 0.5000 0.8521 0.8941  2 Ag 2.62, 2 U 2.88-2.92
Se6 0.0000 0.5000 0.0000  4 U 2.95
Se7 0.0000 0.2078 0.7951  4 U 2.94-2.99, 1 Ag 3.01, 2 Se 3.25
U2 0.5000 0.9969 0.6772  8 Se 2.88-2.99
Se8 0.0000 0.2922 0.2951  4 U 2.94-2.99, 1 Ag 3.01, 2 Se 3.25
U3 0.5000 0.4969 0.8228  8 Se 2.88-2.99
U4 0.5000 0.5031 0.1772  8 Se 2.88-2.99
Ag2 0.0000 0.5000 0.5000  4 Se 2.62
Se9 0.0000 0.7078 0.7049  4 U 2.94-2.99, 1 Ag 3.01, 2 Se 3.25
Se10 0.5000 0.6479 0.3941  2 Ag 2.62, 2 U 2.88-2.92

space group: Pbam (55)
energy relative to the elements, uncorrected: -0.8092 eV per atom
energy: -6.166 eV/atom
D(E_F): 1.768 states/eV per atom

=====

Record 7
VASP calculation (PBE) on UAgSe2 after structural relaxation.

Cell: 3.8872 3.8872 8.7812 Å, 77.21 77.21 60.00°
With the nearest neighbours (Å) after each atom.
Atoms (fractional coordinates):
U1 0.0000 0.0000 0.0000  2 Se 2.61
Se1 0.1025 0.1025 0.6924  1 U 2.61, 3 Ag 2.78
Ag1 0.5000 0.5000 0.5000  6 Se 2.78
Se2 0.8975 0.8975 0.3076  1 U 2.61, 3 Ag 2.78

space group: R-3m (166)
energy relative to the elements, uncorrected: 0.1697 eV per atom
energy: -5.107 eV/atom
D(E_F): 1.839 states/eV per atom

=====

Record 8
VASP calculation (PBE) on U2Ag4Se5 after structural relaxation.

Cell: 4.2319 4.2319 17.9223 Å, 83.22 83.22 60.00°
With the nearest neighbours (Å) after each atom.
Atoms (fractional coordinates):
U1 0.1370 0.1370 0.5890  6 Se 2.91-2.92
Se1 0.7738 0.7738 0.6785  3 Ag 2.75, 3 U 2.92
Ag1 0.4167 0.4167 0.7500  4 Se 2.56-2.75
Ag2 0.5833 0.5833 0.2500  4 Se 2.56-2.75
U2 0.8630 0.8630 0.4110  6 Se 2.91-2.92
Se2 0.5000 0.5000 0.5000  6 U 2.91
Ag3 0.6872 0.6872 0.9385  3 Se 2.57
Se3 0.6314 0.6314 0.1058  4 Ag 2.56-2.57
Ag4 0.3128 0.3128 0.0615  3 Se 2.57
Se4 0.2262 0.2262 0.3215  3 Ag 2.75, 3 U 2.92
Se5 0.3686 0.3686 0.8942  4 Ag 2.56-2.57

space group: R-3m (166)
energy relative to the elements, uncorrected: -0.4014 eV per atom
energy: -5.074 eV/atom
D(E_F): 1.552 states/eV per atom

=====

Record 9
VASP calculation (PBE) on UAg4Se5 after structural relaxation.

Cell: 5.6037 6.9475 6.9475 Å, 80.64 66.22 66.22°
With the nearest neighbours (Å) after each atom.
Atoms (fractional coordinates):
Ag1 0.6114 0.6008 0.1783  6 Se 2.75-3.04
Se1 0.5011 0.0000 0.0000  4 Ag 2.78, 2 U 2.80
Se2 0.0818 0.6211 0.2175  5 Ag 2.75-3.04, 1 U 2.78
Se3 0.2992 0.7825 0.6211  5 Ag 2.75-3.04, 1 U 2.78
Ag2 0.3905 0.3992 0.8217  6 Se 2.75-3.04
Ag3 0.7897 0.8217 0.6008  6 Se 2.75-3.04
Ag4 0.2122 0.1783 0.3992  6 Se 2.75-3.04
U1 0.0010 0.0000 0.0000  6 Se 2.78-2.80
Se4 0.7029 0.2175 0.3789  5 Ag 2.75-3.04, 1 U 2.78
Se5 0.9204 0.3789 0.7825  5 Ag 2.75-3.04, 1 U 2.78

space group: I4/m (87)
energy relative to the elements, uncorrected: -0.3969 eV per atom
energy: -4.408 eV/atom
D(E_F): 0.640 states/eV per atom

=====

Record 10
VASP calculation (PBE) on UAg7Se6 after structural relaxation.

Cell: 7.4513 7.4513 8.1190 Å, 62.69 62.69 60.00°
With the nearest neighbours (Å) after each atom.
Atoms (fractional coordinates):
Ag1 0.5690 0.8455 0.3911  3 Se 2.63-2.78, 1 Ag 2.94
Se1 0.9440 0.5937 0.2151  4 Ag 2.63-2.85, 1 U 2.85
Ag2 0.4285 0.1346 0.6164  3 Se 2.65-2.77, 3 Ag 2.94-2.95
Ag3 0.1346 0.8204 0.6164  3 Se 2.65-2.77, 3 Ag 2.94-2.95
Se2 0.3996 0.7444 0.7931  3 Ag 2.65-2.78, 1 U 2.83
Se3 0.5937 0.2472 0.2151  4 Ag 2.63-2.85, 1 U 2.85
Se4 0.2472 0.9440 0.2151  4 Ag 2.63-2.85, 1 U 2.85
U1 0.9995 0.9995 0.0015  6 Se 2.83-2.85
Ag4 0.8204 0.4285 0.6164  3 Se 2.65-2.77, 3 Ag 2.94-2.95
Ag5 0.8455 0.1944 0.3911  3 Se 2.63-2.78, 1 Ag 2.94
Se5 0.0630 0.3996 0.7931  3 Ag 2.65-2.78, 1 U 2.83
Se6 0.7444 0.0630 0.7931  3 Ag 2.65-2.78, 1 U 2.83
Ag6 0.1944 0.5690 0.3911  3 Se 2.63-2.78, 1 Ag 2.94
Ag7 0.6517 0.6517 0.0449  6 Se 2.85-3.02

space group: R3 (146)
energy relative to the elements, uncorrected: -0.3136 eV per atom
energy: -4.039 eV/atom
D(E_F): 0.094 states/eV per atom

=====

Which value of energy relative to the elements, uncorrected does entry 4 give? -1.1660 eV per atom

=====

Which of these has the lowest energy relative to the elements, uncorrected? Y4TmAgSe8

=====

Which of these has the highest energy? UAg7Se6